Ce12PuGa6 | PBE | optimized geometry

abc: 8.190 8.190 8.190
angles: 96.56 96.56 96.56
Fractional positions:
1 Ce 0.011 0.937 0.701
2 Ce 0.063 0.299 0.989
3 Ce 0.238 0.603 0.457
4 Ce 0.299 0.989 0.063
5 Ce 0.397 0.543 0.762
6 Ce 0.457 0.238 0.603
7 Ce 0.543 0.762 0.397
8 Ce 0.603 0.457 0.238
9 Ce 0.701 0.011 0.937
10 Ce 0.762 0.397 0.543
11 Ce 0.937 0.701 0.011
12 Ce 0.989 0.063 0.299
13 Pu 0.000 0.000 0.000
14 Ga 0.101 0.300 0.620
15 Ga 0.300 0.620 0.101
16 Ga 0.380 0.899 0.700
17 Ga 0.620 0.101 0.300
18 Ga 0.700 0.380 0.899
19 Ga 0.899 0.700 0.380

Values from the calculation:
ΔE to the lowest computed polymorph: 84 kJ/mol of formula units
ΔE_f: -184 meV per atom

SmDy2Tl2Zn2 | PBE | optimized geometry

abc: 9.464 9.464 9.464
angles: 29.20 29.20 29.20
Fractional positions:
1 Sm 0.000 0.000 0.000
2 Dy 0.130 0.130 0.130
3 Dy 0.870 0.870 0.870
4 Tl 0.265 0.265 0.265
5 Tl 0.735 0.735 0.735
6 Zn 0.418 0.418 0.418
7 Zn 0.582 0.582 0.582

Values from the calculation:
ΔE_f: -166 meV per atom

In the order shown, the computed electronic total energy values come out to -0.4147, -0.2349 Ry per atom.